A | The following is a PBE-GGA calculation of Ni2Ge2Os after structural relaxation, from the Alexandria database.

The structure in POSCAR format:
```
Ni2Ge2Os
1.0
6.9274 0.0000 0.0000
0.0000 6.9274 0.0000
0.0000 0.0000 2.7424
Ni Ge Os
4 4 2
direct
0.1258 0.3742 0.0000
0.3742 0.8742 0.0000
0.6258 0.1258 0.0000
0.8742 0.6258 0.0000
0.1742 0.6742 0.5000
0.3258 0.1742 0.5000
0.6742 0.8258 0.5000
0.8258 0.3258 0.5000
0.0000 0.0000 0.0000
0.5000 0.5000 0.0000
```

DOS(E_F)	0.804	states/eV per atom
symmetry	No. 127
crystal system	tetragonal


B | The following is a PBE-GGA calculation of Ni2Ge2Os after structural relaxation, from the Alexandria database.

The structure in POSCAR format:
```
Ni2Ge2Os
1.0
-1.8083 1.8083 5.3438
1.8083 -1.8083 5.3438
1.8083 1.8083 -5.3438
Ni Ge Os
2 2 1
direct
0.1065 0.1065 0.0000
0.8935 0.8935 0.0000
0.2500 0.7500 0.5000
0.7500 0.2500 0.5000
0.5000 0.5000 0.0000
```

DOS(E_F)	1.096	states/eV per atom
symmetry	No. 139
crystal system	tetragonal


C | The following is a PBE-GGA calculation of Ni2Ge2Os after structural relaxation, from the Alexandria database.

The structure in POSCAR format:
```
Ni2Ge2Os
1.0
6.7135 0.0000 0.0000
0.0000 6.7135 0.0000
0.0000 0.0000 2.9354
Ni Ge Os
4 4 2
direct
0.1400 0.3600 0.0000
0.3600 0.8600 0.0000
0.6400 0.1400 0.0000
0.8600 0.6400 0.0000
0.1540 0.6540 0.5000
0.3460 0.1540 0.5000
0.6540 0.8460 0.5000
0.8460 0.3460 0.5000
0.0000 0.0000 0.5000
0.5000 0.5000 0.5000
```

DOS(E_F)	0.661	states/eV per atom
symmetry	No. 127
crystal system	tetragonal


Most stable structure, least stable structure: C, B.